Entry from the Alexandria database: a relaxed structure of LiAc2MoO6 (PBE+U).

POSCAR file:
```
LiAc2MoO6
1.0
-2.688 -1.889 -2.438
3.966 -0.470 -4.007
1.570 -4.996 2.140
O Li Ac Mo
6 1 2 1
direct
0.645 0.257 0.257
0.145 0.500 0.500
0.645 0.743 0.743
0.645 0.257 0.743
0.645 0.743 0.257
0.145 0.000 0.000
0.645 0.000 0.000
0.144 0.500 0.000
0.144 0.000 0.500
0.645 0.500 0.500
```

Summary:
DFT total energy = -7.193 eV/atom
space-group type = P4/mmm, No. 123